# 1
The following is a DFT calculation (PBE-GGA) of a relaxed structure of Sc3Nb3Mo2N12.

Computed properties:
Total moment ... 0.01 μB/cell
Electronic total energy ... -735.54 eV/cell

abc: 10.829 10.829 10.829
angles: 109.47 109.47 109.47
Positions (direct):
Mo: 0.000 0.000 0.000
Mo: 0.500 0.000 0.000
Mo: 0.000 0.500 0.000
Mo: 0.500 0.500 0.000
Mo: 0.000 0.000 0.500
Mo: 0.500 0.000 0.500
Mo: 0.000 0.500 0.500
Mo: 0.500 0.500 0.500
N: 0.325 0.913 0.034
N: 0.209 0.121 0.034
N: 0.621 0.412 0.087
N: 0.966 0.675 0.087
N: 0.879 0.413 0.088
N: 0.709 0.675 0.088
N: 0.587 0.912 0.121
N: 0.034 0.209 0.121
N: 0.466 0.587 0.175
N: 0.209 0.588 0.175
N: 0.121 0.034 0.209
N: 0.588 0.175 0.209
N: 0.466 0.379 0.291
N: 0.325 0.912 0.291
N: 0.913 0.034 0.325
N: 0.912 0.291 0.325
N: 0.291 0.466 0.379
N: 0.588 0.913 0.379
N: 0.087 0.621 0.412
N: 0.825 0.791 0.412
N: 0.825 0.534 0.413
N: 0.088 0.879 0.413
N: 0.587 0.175 0.466
N: 0.379 0.291 0.466
N: 0.621 0.709 0.534
N: 0.413 0.825 0.534
N: 0.912 0.121 0.587
N: 0.175 0.466 0.587
N: 0.175 0.209 0.588
N: 0.913 0.379 0.588
N: 0.412 0.087 0.621
N: 0.709 0.534 0.621
N: 0.088 0.709 0.675
N: 0.087 0.966 0.675
N: 0.675 0.088 0.709
N: 0.534 0.621 0.709
N: 0.412 0.825 0.791
N: 0.879 0.966 0.791
N: 0.791 0.412 0.825
N: 0.534 0.413 0.825
N: 0.413 0.088 0.879
N: 0.966 0.791 0.879
N: 0.291 0.325 0.912
N: 0.121 0.587 0.912
N: 0.034 0.325 0.913
N: 0.379 0.588 0.913
N: 0.675 0.087 0.966
N: 0.791 0.879 0.966
Nb: 0.875 0.250 0.125
Nb: 0.750 0.875 0.125
Nb: 0.625 0.375 0.250
Nb: 0.125 0.875 0.250
Nb: 0.250 0.625 0.375
Nb: 0.625 0.750 0.375
Nb: 0.375 0.250 0.625
Nb: 0.750 0.375 0.625
Nb: 0.875 0.125 0.750
Nb: 0.375 0.625 0.750
Nb: 0.250 0.125 0.875
Nb: 0.125 0.750 0.875
Sc: 0.250 0.375 0.125
Sc: 0.375 0.750 0.125
Sc: 0.375 0.125 0.250
Sc: 0.875 0.625 0.250
Sc: 0.750 0.125 0.375
Sc: 0.125 0.250 0.375
Sc: 0.875 0.750 0.625
Sc: 0.250 0.875 0.625
Sc: 0.125 0.375 0.750
Sc: 0.625 0.875 0.750
Sc: 0.625 0.250 0.875
Sc: 0.750 0.625 0.875

***

# 2
The following is a DFT calculation (PBE-GGA) of a relaxed structure of Zr2Np.

Computed properties:
Total moment ... 6.44 μB/cell
Energy relative to the lowest polymorph listed for this composition ... 2625 meV per atom
ΔH_f (0 K) ... 2.84 eV/atom
Electronic total energy ... -42.71 eV/cell

abc: 8.091 8.091 8.091
angles: 60.00 60.00 60.00
Each line ends with the local moment (μB).
Positions (direct):
Np: 0.250 0.250 0.250  2.47
Np: 0.500 0.500 0.500  2.47
Zr: 0.375 0.375 0.375  0.18
Zr: 0.875 0.375 0.375  0.20
Zr: 0.375 0.875 0.375  0.19
Zr: 0.375 0.375 0.875  0.18

***

Among the records above, which one has the lowest electronic total energy?
Sc3Nb3Mo2N12

***

Which value of total moment does entry 2 give?
6.44 μB/cell

***

Number 2 is which compound?
Zr2Np